DFT (GGA-PBE) results for crystalline Nb2TcB6 at its relaxed geometry.

Cell and atoms, written as POSCAR:
```
Nb2TcB6
1.0
3.378 0.000 0.000
0.000 4.596 -2.654
0.000 0.000 5.307
B Tc Nb
6 1 2
direct
0.500 0.000 0.330 B
0.500 0.670 0.670 B
0.500 0.330 0.000 B
0.500 0.000 0.670 B
0.500 0.670 0.000 B
0.500 0.330 0.330 B
0.000 0.000 0.000 Tc
0.000 0.333 0.667 Nb
0.000 0.667 0.333 Nb
```

## Properties
* density of states at the Fermi level: 0.3730 states/eV per atom
* ΔE_f: -0.50 eV per atom
* magnetic moment: 0.00 μB per formula unit
* electronic total energy: -8.346 eV per atom
* space group: No. 191